Material: SmBr3N
Method: DFT, PBE
State: optimized geometry

## Properties
space-group type	C2/m (12)
formation energy from raw total energies	-0.3253	eV/atom

Unit cell a=6.3185 b=6.3185 c=10.1458 alpha=84.06 beta=84.06 gamma=71.51
Last column: magnetic moment on the atom in μB.
Fractional coordinates of all 10 atoms:
N 0.3025 0.3025 0.0548  1.94
N 0.6975 0.6975 0.9452  1.94
Sm 0.2503 0.7497 0.5000  0.00
Sm 0.7497 0.2503 0.5000  0.00
Br 0.9579 0.9579 0.2929  0.00
Br 0.5952 0.5952 0.2927  0.01
Br 0.7375 0.7375 0.5943  0.01
Br 0.4048 0.4048 0.7073  0.01
Br 0.2625 0.2625 0.4057  0.01
Br 0.0421 0.0421 0.7071  0.00


Material: Sm7Br12N
Method: DFT, PBE
State: optimized geometry

## Properties
space-group type	R-3 (148)
formation energy from raw total energies	-1.6864	eV/atom

Unit cell a=9.1215 b=9.1215 c=9.1215 alpha=107.74 beta=107.74 gamma=107.74
Fractional coordinates of all 20 atoms:
Br 0.8483 0.6135 0.5308
Br 0.4692 0.1517 0.3865
Br 0.3865 0.4692 0.1517
Br 0.6135 0.5308 0.8483
Br 0.5308 0.8483 0.6135
Br 0.1517 0.3865 0.4692
Br 0.2268 0.0782 0.6875
Br 0.6875 0.2268 0.0782
Br 0.9218 0.3125 0.7732
Br 0.3125 0.7732 0.9218
Br 0.7732 0.9218 0.3125
Br 0.0782 0.6875 0.2268
Sm 0.9689 0.6999 0.8983
Sm 0.1017 0.0311 0.3001
Sm 0.3001 0.1017 0.0311
Sm 0.6999 0.8983 0.9689
Sm 0.5000 0.5000 0.5000
Sm 0.0311 0.3001 0.1017
Sm 0.8983 0.9689 0.6999
N 0.0000 0.0000 0.0000


Material: Sm2BrN
Method: DFT, PBE
State: optimized geometry

## Properties
space-group type	R3m (160)
formation energy from raw total energies	-1.4032	eV/atom

Unit cell a=3.6759 b=3.6759 c=7.5635 alpha=75.94 beta=75.94 gamma=60.00
Fractional coordinates of all 4 atoms:
Sm 0.0592 0.0592 0.8223
Sm 0.2727 0.2727 0.1818
N 0.6688 0.6688 0.9936
Br 0.4992 0.4992 0.5024


Material: Sm4Br3N2
Method: DFT, PBE
State: optimized geometry

## Properties
space-group type	C2/m (12)
formation energy from raw total energies	-1.4179	eV/atom

Unit cell a=3.5435 b=7.4579 c=8.6362 alpha=103.26 beta=90.00 gamma=103.74
Fractional coordinates of all 9 atoms:
Br 0.4053 0.8105 0.5960
Br 0.0000 0.0000 0.0000
Br 0.5947 0.1895 0.4040
Sm 0.0948 0.1897 0.7159
Sm 0.3161 0.6323 0.9016
Sm 0.9052 0.8103 0.2841
Sm 0.6839 0.3677 0.0984
N 0.6989 0.3978 0.8170
N 0.3011 0.6022 0.1830


Material: Sm4Br5N
Method: DFT, PBE
State: optimized geometry

## Properties
space-group type	C2/m (12)
formation energy from raw total energies	-1.6188	eV/atom

Unit cell a=3.8428 b=8.2556 c=9.1816 alpha=102.94 beta=102.08 gamma=90.00
Fractional coordinates of all 10 atoms:
Br 0.1709 0.8235 0.3418
Br 0.5000 0.5000 0.0000
Br 0.8362 0.6555 0.6723
Br 0.1638 0.3445 0.3277
Br 0.8291 0.1765 0.6582
Sm 0.0014 0.7989 0.0028
Sm 0.3620 0.9287 0.7241
Sm 0.6380 0.0713 0.2759
Sm 0.9986 0.2011 0.9972
N 0.5000 0.0000 0.0000


Material: Sm6Br12N
Method: DFT, PBE
State: optimized geometry

## Properties
space-group type	R-3m (166)
formation energy from raw total energies	-1.4852	eV/atom

Unit cell a=8.4843 b=8.4843 c=8.4843 alpha=74.45 beta=74.45 gamma=74.45
Fractional coordinates of all 19 atoms:
Br 0.8896 0.4319 0.8896
Br 0.4447 0.4447 0.8260
Br 0.4319 0.8896 0.8896
Br 0.5553 0.1740 0.5553
Br 0.1104 0.5681 0.1104
Br 0.1104 0.1104 0.5681
Br 0.8260 0.4447 0.4447
Br 0.8896 0.8896 0.4319
Br 0.5681 0.1104 0.1104
Br 0.4447 0.8260 0.4447
Br 0.1740 0.5553 0.5553
Br 0.5553 0.5553 0.1740
Sm 0.2144 0.2144 0.8157
Sm 0.1843 0.7856 0.7856
Sm 0.7856 0.1843 0.7856
Sm 0.7856 0.7856 0.1843
Sm 0.8157 0.2144 0.2144
Sm 0.2144 0.8157 0.2144
N 0.0000 0.0000 0.0000


Material: Sm3Br2N2
Method: DFT, PBE
State: optimized geometry

## Properties
space-group type	C2/m (12)
formation energy from raw total energies	-1.5435	eV/atom

Unit cell a=3.5900 b=6.3382 c=7.5118 alpha=98.73 beta=89.99 gamma=106.41
Fractional coordinates of all 7 atoms:
Sm 0.7716 0.5436 0.1961
Sm 0.2284 0.4564 0.8039
Sm 0.0000 0.0000 0.0000
Br 0.1191 0.2378 0.3809
Br 0.8809 0.7622 0.6191
N 0.3638 0.7276 0.0617
N 0.6362 0.2724 0.9383


Material: Sm3Br3N
Method: DFT, PBE
State: optimized geometry

## Properties
space-group type	P2_1/m (11)
formation energy from raw total energies	-1.5489	eV/atom

Unit cell a=3.7934 b=8.3755 c=11.3208 alpha=92.25 beta=90.00 gamma=90.00
Fractional coordinates of all 14 atoms:
Sm 0.7500 0.0845 0.3968
Sm 0.7500 0.6912 0.3789
Sm 0.2500 0.9155 0.6032
Sm 0.7500 0.1206 0.8298
Sm 0.2500 0.3088 0.6211
Sm 0.2500 0.8794 0.1702
N 0.7500 0.1170 0.6153
N 0.2500 0.8830 0.3847
Br 0.2500 0.8592 0.8764
Br 0.2500 0.3814 0.8754
Br 0.2500 0.3814 0.3663
Br 0.7500 0.1408 0.1236
Br 0.7500 0.6186 0.6337
Br 0.7500 0.6186 0.1246


One value per record, in order, for E: -3.938 -4.758 -6.262 -5.923 -5.175 -4.470 -6.423 -5.478 eV/atom.
One value per record, in order, for DOS at the Fermi energy: 0.00 11.69 1.09 2.39 2.82 2.77 1.74 4.64 states/eV per cell.
One value per record, in order, for total moment: 0.600 0.000 0.000 0.000 0.000 0.000 0.000 0.000 μB per atom.